Th2MgTe, optimized geometry, DFT PBE; formation energy without anion corrections = -146 kJ/mol of formula units; VASP energy = -5.272 eV per atom; excess energy over the best structure of this formula in the dataset = 0 meV per atom
1.0
3.8936 0.0000 0.0000
0.0000 3.8936 0.0000
0.0000 0.0000 7.6453
Th Mg Te
2 1 1
Cartesian
0.0000 0.0000 1.8741
0.0000 0.0000 5.7712
1.9468 1.9468 3.8227
1.9468 1.9468 0.0000